The following is a DFT calculation (PBE) of a geometry-optimized LuInTc4 structure.

Unit cell a=5.2924 b=5.2924 c=5.2924 alpha=60.00 beta=60.00 gamma=60.00
Closest atoms and distances in Å follow each position.
Sites, in units of the cell vectors:
1 Tc 0.1229 0.6257 0.6257  6 Tc 2.63-2.66
2 Tc 0.6257 0.6257 0.6257  6 Tc 2.63-2.66
3 Tc 0.6257 0.1229 0.6257  6 Tc 2.63-2.66
4 Tc 0.6257 0.6257 0.1229  6 Tc 2.63-2.66
5 In 0.0000 0.0000 0.0000  12 Tc 3.10, 4 Lu 3.24
6 Lu 0.2500 0.2500 0.2500  12 Tc 3.10, 4 In 3.24

Output
As for the density: 10.80 g cm⁻³. The calculation puts the density of states at the Fermi level at 7.46 states/eV/f.u. For the calculated formation energy, the calculation gives -0.020 eV per atom.